No. 1
Entry from the Alexandria database: a geometry-optimized MnP structure (GGA-PBE).

Results
Formation enthalpy at 0 K ... -0.3211 eV/atom
E ... -7.61 eV per atom
Calculated volume ... 44.7 Å³/cell

Cell lengths 2.7391, 4.2214, 3.8624 Å; angles 90.00, 90.00, 90.00 degrees
Closest atoms and distances in Å follow each position.
Positions (direct):
Mn (0.2500, 0.2500, 0.1233)  6 P 2.32-2.37
Mn (0.7500, 0.7500, 0.8767)  6 P 2.32-2.37
P (0.2500, 0.7500, 0.3755)  6 Mn 2.32-2.37
P (0.7500, 0.2500, 0.6245)  6 Mn 2.32-2.37

=====

No. 2
Entry from the Alexandria database: a geometry-optimized MnP2 structure (GGA-PBE).

Results
Formation enthalpy at 0 K ... 0.0908 eV/atom
E ... -6.57 eV per atom
Calculated volume ... 37.6 Å³/cell

Cell lengths 2.8858, 3.8089, 4.1006 Å; angles 112.39, 104.15, 103.45 degrees
Closest atoms and distances in Å follow each position.
Positions (direct):
Mn (0.0000, 0.0000, 0.0000)  8 P 2.35-2.57
P (0.2155, 0.4437, 0.6780)  3 P 2.27-2.45, 3 Mn 2.35-2.46
P (0.5394, 0.7654, 0.3223)  3 P 2.27-2.45, 3 Mn 2.35-2.46

=====

No. 3
Entry from the Alexandria database: a geometry-optimized MnP2 structure (GGA-PBE).

Results
Formation enthalpy at 0 K ... 0.0283 eV/atom
E ... -6.63 eV per atom
Calculated volume ... 148.6 Å³/cell

Cell lengths 3.1004, 11.2015, 4.2792 Å; angles 90.00, 90.00, 90.00 degrees
Closest atoms and distances in Å follow each position.
Positions (direct):
Mn (0.0000, 0.1094, 0.2500)  6 P 2.41-2.50
Mn (0.0000, 0.8906, 0.7500)  6 P 2.41-2.50
Mn (0.5000, 0.3906, 0.7500)  6 P 2.41-2.50
Mn (0.5000, 0.6094, 0.2500)  6 P 2.41-2.50
P (0.0000, 0.2257, 0.7500)  4 Mn 2.41-2.50, 6 P 2.44-2.70
P (0.0000, 0.4423, 0.2500)  6 Mn 2.43-2.70, 4 P 2.44-2.50
P (0.0000, 0.5577, 0.7500)  6 Mn 2.43-2.70, 4 P 2.44-2.50
P (0.0000, 0.7743, 0.2500)  4 Mn 2.41-2.50, 6 P 2.44-2.70
P (0.5000, 0.0577, 0.7500)  6 Mn 2.43-2.70, 4 P 2.44-2.50
P (0.5000, 0.2743, 0.2500)  4 Mn 2.41-2.50, 6 P 2.44-2.70
P (0.5000, 0.7257, 0.7500)  4 Mn 2.41-2.50, 6 P 2.44-2.70
P (0.5000, 0.9423, 0.2500)  6 Mn 2.43-2.70, 4 P 2.44-2.50

=====

No. 4
Entry from the Alexandria database: a geometry-optimized MnP2 structure (GGA-PBE).

Results
Formation enthalpy at 0 K ... 0.0376 eV/atom
E ... -6.63 eV per atom
Calculated volume ... 158.2 Å³/cell

Cell lengths 19.4536, 19.4536, 19.4536 Å; angles 171.57, 171.57, 11.93 degrees
Closest atoms and distances in Å follow each position.
Positions (direct):
Mn (0.3078, 0.5578, 0.7500)  6 P 2.26-2.31
Mn (0.4422, 0.6922, 0.7500)  6 P 2.26-2.31
Mn (0.5578, 0.3078, 0.2500)  6 P 2.26-2.31
Mn (0.6922, 0.4422, 0.2500)  6 P 2.26-2.31
P (0.0286, 0.7786, 0.2500)  4 Mn 2.31
P (0.1470, 0.3970, 0.7500)  2 Mn 2.26
P (0.2214, 0.9714, 0.2500)  4 Mn 2.31
P (0.3970, 0.1470, 0.2500)  2 Mn 2.26
P (0.6030, 0.8530, 0.7500)  2 Mn 2.26
P (0.7786, 0.0286, 0.7500)  4 Mn 2.31
P (0.8530, 0.6030, 0.2500)  2 Mn 2.26
P (0.9714, 0.2214, 0.7500)  4 Mn 2.31

=====

No. 5
Entry from the Alexandria database: a geometry-optimized MnP5 structure (GGA-PBE).

Results
Formation enthalpy at 0 K ... 0.7555 eV/atom
E ... -5.28 eV per atom
Excess energy over the best structure of this formula in the dataset ... 0.786 eV/atom
Calculated volume ... 90.0 Å³/cell

Cell lengths 5.0302, 5.0302, 5.0302 Å; angles 60.00, 60.00, 60.00 degrees
Closest atoms and distances in Å follow each position.
Positions (direct):
Mn (0.0000, 0.0000, 0.0000)  16 P 2.95-3.08
P (0.3756, 0.3756, 0.3756)  6 P 2.50-2.53
P (0.3756, 0.3756, 0.8731)  6 P 2.50-2.53
P (0.3756, 0.8731, 0.3756)  6 P 2.50-2.53
P (0.7500, 0.7500, 0.7500)  12 P 2.95, 4 Mn 3.08
P (0.8731, 0.3756, 0.3756)  6 P 2.50-2.53

=====

No. 6
Entry from the Alexandria database: a geometry-optimized MnP2 structure (GGA-PBE).

Results
Formation enthalpy at 0 K ... 0.2338 eV/atom
E ... -6.43 eV per atom
Calculated volume ... 41.0 Å³/cell

Cell lengths 3.8352, 3.8352, 2.7878 Å; angles 90.00, 90.00, 90.00 degrees
Closest atoms and distances in Å follow each position.
Positions (direct):
Mn (0.0000, 0.0000, 0.0000)  8 P 2.37
P (0.0000, 0.5000, 0.5000)  4 Mn 2.37
P (0.5000, 0.0000, 0.5000)  4 Mn 2.37

=====

No. 7
Entry from the Alexandria database: a geometry-optimized MnP structure (GGA-PBE).

Results
Formation enthalpy at 0 K ... -0.1026 eV/atom
E ... -7.39 eV per atom
Calculated volume ... 151.2 Å³/cell

Cell lengths 6.7346, 6.2933, 5.4049 Å; angles 69.82, 61.30, 48.88 degrees
Closest atoms and distances in Å follow each position.
Positions (direct):
Mn (0.0009, 0.0009, 0.2491)  4 P 2.18-2.26
Mn (0.2491, 0.2491, 0.0009)  4 P 2.18-2.26
Mn (0.7509, 0.7509, 0.9991)  4 P 2.18-2.26
Mn (0.9991, 0.9991, 0.7509)  4 P 2.18-2.26
P (0.0957, 0.6543, 0.0957)  4 Mn 2.18-2.26
P (0.3457, 0.9043, 0.3457)  4 Mn 2.18-2.26
P (0.6543, 0.0957, 0.6543)  4 Mn 2.18-2.26
P (0.9043, 0.3457, 0.9043)  4 Mn 2.18-2.26

=====

No. 8
Entry from the Alexandria database: a geometry-optimized MnP2 structure (GGA-PBE).

Results
Formation enthalpy at 0 K ... -0.1715 eV/atom
E ... -6.83 eV per atom
Calculated volume ... 153.5 Å³/cell

Cell lengths 4.6315, 4.6315, 7.1572 Å; angles 90.00, 90.00, 90.00 degrees
Closest atoms and distances in Å follow each position.
Positions (direct):
Mn (0.0000, 0.2500, 0.3750)  6 P 2.32-2.38
Mn (0.0000, 0.7500, 0.6250)  6 P 2.32-2.38
Mn (0.5000, 0.2500, 0.1250)  6 P 2.32-2.38
Mn (0.5000, 0.7500, 0.8750)  6 P 2.32-2.38
P (0.0000, 0.2500, 0.0513)  3 Mn 2.32-2.38, 3 P 2.43-2.52
P (0.0000, 0.2500, 0.6987)  3 Mn 2.32-2.38, 3 P 2.43-2.52
P (0.0000, 0.7500, 0.3013)  3 Mn 2.32-2.38, 3 P 2.43-2.52
P (0.0000, 0.7500, 0.9487)  3 Mn 2.32-2.38, 3 P 2.43-2.52
P (0.5000, 0.2500, 0.4487)  3 Mn 2.32-2.38, 3 P 2.43-2.52
P (0.5000, 0.2500, 0.8013)  3 Mn 2.32-2.38, 3 P 2.43-2.52
P (0.5000, 0.7500, 0.1987)  3 Mn 2.32-2.38, 3 P 2.43-2.52
P (0.5000, 0.7500, 0.5513)  3 Mn 2.32-2.38, 3 P 2.43-2.52

=====

No. 9
Entry from the Alexandria database: a geometry-optimized MnP structure (GGA-PBE).

Results
Formation enthalpy at 0 K ... -0.2692 eV/atom
E ... -7.56 eV per atom
Calculated volume ... 96.5 Å³/cell

Cell lengths 3.5132, 3.5132, 9.0239 Å; angles 90.00, 90.00, 120.00 degrees
Closest atoms and distances in Å follow each position.
Positions (direct):
Mn (0.3333, 0.6667, 0.1099)  6 P 2.26-2.39
Mn (0.3333, 0.6667, 0.3901)  6 P 2.26-2.39
Mn (0.6667, 0.3333, 0.6099)  6 P 2.26-2.39
Mn (0.6667, 0.3333, 0.8901)  6 P 2.26-2.39
P (0.0000, 0.0000, 0.0000)  6 Mn 2.26
P (0.0000, 0.0000, 0.5000)  6 Mn 2.26
P (0.3333, 0.6667, 0.7500)  6 Mn 2.39
P (0.6667, 0.3333, 0.2500)  6 Mn 2.39

=====

No. 10
Entry from the Alexandria database: a geometry-optimized Mn7P6 structure (GGA-PBE).

Results
Formation enthalpy at 0 K ... -0.2053 eV/atom
E ... -7.64 eV per atom
Calculated volume ... 173.0 Å³/cell

Cell lengths 8.6322, 8.6322, 8.6322 Å; angles 33.34, 33.34, 33.34 degrees
Closest atoms and distances in Å follow each position.
Positions (direct):
Mn (0.0000, 0.0000, 0.0000)  6 Mn 2.67, 6 P 2.90
Mn (0.0729, 0.0729, 0.5769)  5 P 2.29-2.51, 4 Mn 2.46-2.50
Mn (0.0729, 0.5769, 0.0729)  5 P 2.29-2.51, 4 Mn 2.46-2.50
Mn (0.4231, 0.9271, 0.9271)  5 P 2.29-2.51, 4 Mn 2.46-2.50
Mn (0.5769, 0.0729, 0.0729)  5 P 2.29-2.51, 4 Mn 2.46-2.50
Mn (0.9271, 0.4231, 0.9271)  5 P 2.29-2.51, 4 Mn 2.46-2.50
Mn (0.9271, 0.9271, 0.4231)  5 P 2.29-2.51, 4 Mn 2.46-2.50
P (0.1680, 0.1680, 0.1680)  6 Mn 2.29-2.33
P (0.3144, 0.3144, 0.3144)  3 Mn 2.30, 1 P 2.32
P (0.4092, 0.4092, 0.4092)  1 P 2.32, 6 Mn 2.51
P (0.5908, 0.5908, 0.5908)  1 P 2.32, 6 Mn 2.51
P (0.6856, 0.6856, 0.6856)  3 Mn 2.30, 1 P 2.32
P (0.8320, 0.8320, 0.8320)  6 Mn 2.29-2.33

=====

No. 11
Entry from the Alexandria database: a geometry-optimized MnP structure (GGA-PBE).

Results
Formation enthalpy at 0 K ... -0.1175 eV/atom
E ... -7.41 eV per atom
Calculated volume ... 193.5 Å³/cell

Cell lengths 8.7519, 8.7519, 2.9174 Å; angles 90.00, 90.00, 120.00 degrees
Closest atoms and distances in Å follow each position.
Positions (direct):
Mn (0.1055, 0.6351, 0.2500)  4 P 2.17-2.25
Mn (0.3649, 0.4704, 0.2500)  4 P 2.17-2.25
Mn (0.4704, 0.1055, 0.7500)  4 P 2.17-2.25
Mn (0.5296, 0.8945, 0.2500)  4 P 2.17-2.25
Mn (0.6351, 0.5296, 0.7500)  4 P 2.17-2.25
Mn (0.8945, 0.3649, 0.7500)  4 P 2.17-2.25
P (0.0781, 0.3655, 0.2500)  4 Mn 2.17-2.25
P (0.2874, 0.9219, 0.2500)  4 Mn 2.17-2.25
P (0.3655, 0.2874, 0.7500)  4 Mn 2.17-2.25
P (0.6345, 0.7126, 0.2500)  4 Mn 2.17-2.25
P (0.7126, 0.0781, 0.7500)  4 Mn 2.17-2.25
P (0.9219, 0.6345, 0.7500)  4 Mn 2.17-2.25

=====

No. 12
Entry from the Alexandria database: a geometry-optimized MnP2 structure (GGA-PBE).

Results
Formation enthalpy at 0 K ... 0.0540 eV/atom
E ... -6.61 eV per atom
Calculated volume ... 76.5 Å³/cell

Cell lengths 3.1964, 3.1964, 7.4839 Å; angles 90.00, 90.00, 90.00 degrees
Closest atoms and distances in Å follow each position.
Positions (direct):
Mn (0.0000, 0.0000, 0.0000)  10 P 2.51-2.57
Mn (0.5000, 0.5000, 0.5000)  10 P 2.51-2.57
P (0.0000, 0.0000, 0.3354)  5 P 2.46-2.60, 5 Mn 2.51-2.57
P (0.0000, 0.0000, 0.6646)  5 P 2.46-2.60, 5 Mn 2.51-2.57
P (0.5000, 0.5000, 0.1646)  5 P 2.46-2.60, 5 Mn 2.51-2.57
P (0.5000, 0.5000, 0.8354)  5 P 2.46-2.60, 5 Mn 2.51-2.57

=====

No. 13
Entry from the Alexandria database: a geometry-optimized MnP2 structure (GGA-PBE).

Results
Formation enthalpy at 0 K ... -0.0368 eV/atom
E ... -6.70 eV per atom
Calculated volume ... 85.1 Å³/cell

Cell lengths 3.1151, 3.4763, 7.8566 Å; angles 90.00, 90.00, 90.00 degrees
Closest atoms and distances in Å follow each position.
Positions (direct):
Mn (0.0000, 0.0000, 0.0000)  7 P 2.23-2.43
Mn (0.0000, 0.5000, 0.5000)  7 P 2.23-2.43
P (0.0000, 0.0000, 0.2845)  2 P 2.23, 3 Mn 2.23-2.43
P (0.0000, 0.5000, 0.7845)  2 P 2.23, 3 Mn 2.23-2.43
P (0.5000, 0.0000, 0.4871)  2 P 2.23, 4 Mn 2.34
P (0.5000, 0.5000, 0.9871)  2 P 2.23, 4 Mn 2.34